An optimized crystal structure of TbDyV2O8, computed with GGA+U.

Output
**Space-group type**: I-4m2
**Fermi-level density of states**: 0.0 states/eV per cell

abc: 6.019 6.019 6.019
angles: 106.22 106.22 116.19
Sites, in units of the cell vectors:
Tb 0.000 0.000 0.000
Dy 0.250 0.750 0.500
V 0.500 0.500 0.000
V 0.750 0.250 0.500
O 0.325 0.140 0.815
O 0.325 0.510 0.185
O 0.390 0.074 0.316
O 0.490 0.675 0.815
O 0.758 0.074 0.684
O 0.860 0.675 0.185
O 0.926 0.242 0.316
O 0.926 0.610 0.684

***

An optimized crystal structure of Tb2DyWO8, computed with GGA+U.

Output
**Space-group type**: Cmmm
**Fermi-level density of states**: 7.5 states/eV per cell

abc: 5.078 5.078 6.839
angles: 90.00 90.00 90.80
Sites, in units of the cell vectors:
Tb 0.000 0.000 0.249
Tb 0.000 0.000 0.751
Dy 0.500 0.500 0.500
W 0.500 0.500 0.000
O 0.193 0.193 0.500
O 0.226 0.226 0.000
O 0.318 0.682 0.212
O 0.318 0.682 0.788
O 0.682 0.318 0.212
O 0.682 0.318 0.788
O 0.774 0.774 0.000
O 0.807 0.807 0.500

***

| no. | DFT total energy (eV/atom) |
| --- | --- |
| 1 | -8.06 |
| 2 | -7.90 |